A plane-wave DFT calculation with PBE was carried out for a relaxed LiCaNi crystal.

Density of states at the Fermi level = 2.4 states/eV/cell
Symmetry = Imm2
Total DFT energy (no corrections) = -3.139 eV/atom

a b c (Å): 5.5232 5.5232 5.5232
angles (deg): 143.91 144.04 51.87
Last column: nearest neighbours and their distance in Å.
Fractional coordinates of all 3 atoms:
Ca 0.0148 0.0148 0.0000  1 Li 2.78, 4 Ni 2.98
Li 0.2943 0.2943 0.0000  4 Ni 2.62, 1 Ca 2.78
Ni 0.6909 0.6909 0.0000  4 Li 2.62

***

A plane-wave DFT calculation with PBE was carried out for a relaxed LiCaNi crystal.

Density of states at the Fermi level = 6.9 states/eV/cell
Symmetry = Cm
Total DFT energy (no corrections) = -3.239 eV/atom

a b c (Å): 6.0470 4.2350 10.3988
angles (deg): 90.00 108.33 90.00
Last column: nearest neighbours and their distance in Å.
Fractional coordinates of all 12 atoms:
Li 0.6005 0.0000 0.6061  2 Ni 2.65-2.76, 2 Li 2.81
Li 0.6005 0.5000 0.1061  2 Ni 2.65-2.76, 2 Li 2.81
Li 0.7566 0.0000 0.2908  3 Ni 2.43-2.50
Li 0.7566 0.5000 0.7908  3 Ni 2.43-2.50
Ca 0.0929 0.0000 0.1069  4 Ni 2.89-3.10, 1 Li 3.20
Ca 0.0929 0.5000 0.6069  4 Ni 2.89-3.10, 1 Li 3.20
Ca 0.4698 0.0000 0.8793  3 Ni 2.79-2.85, 4 Li 3.06-3.08
Ca 0.4698 0.5000 0.3793  3 Ni 2.79-2.85, 4 Li 3.06-3.08
Ni 0.9861 0.0000 0.8162  2 Ni 2.45, 3 Li 2.50-2.65
Ni 0.9861 0.5000 0.3162  2 Ni 2.45, 3 Li 2.50-2.65
Ni 0.1728 0.0000 0.4076  1 Li 2.43, 2 Ni 2.45
Ni 0.1728 0.5000 0.9076  1 Li 2.43, 2 Ni 2.45

***

Q: Which formula does entry 2 have?
A: LiCaNi